Arrangement one

LiPt2, optimized geometry, DFT PBE; crystal system = tetragonal; density of states at the Fermi level = 3.35 states/eV/f.u.
1.0
-1.356 1.356 12.011
1.356 -1.356 12.011
1.356 1.356 -12.011
Li Pt
2 4
direct
0.375 0.625 0.750
0.625 0.375 0.250
0.049 0.799 0.250
0.201 0.951 0.250
0.799 0.049 0.750
0.951 0.201 0.750

=====

Arrangement two

LiPt2, optimized geometry, DFT PBE; crystal system = trigonal; density of states at the Fermi level = 2.34 states/eV/f.u.
1.0
2.716 0.000 0.000
-1.358 2.352 0.000
0.000 0.000 6.879
Li Pt
1 2
direct
0.000 0.000 0.000
0.333 0.667 0.687
0.667 0.333 0.313

=====

Stability check: which of them is least stable? arrangement one.

=====

Arrangement one

LiPt2, optimized geometry, DFT PBE; crystal system = orthorhombic; density of states at the Fermi level = 3.63 states/eV/f.u.
1.0
-1.356 1.984 4.091
1.356 -1.984 4.091
1.356 1.984 -4.091
Li Pt
1 2
direct
0.000 0.000 0.000
0.336 0.336 0.000
0.664 0.664 0.000

=====

Arrangement two

LiPt2, optimized geometry, DFT PBE; crystal system = tetragonal; density of states at the Fermi level = 2.75 states/eV/f.u.
1.0
3.976 0.000 0.000
0.000 3.976 0.000
0.000 0.000 2.832
Li Pt
1 2
direct
0.000 0.000 0.000
0.000 0.500 0.500
0.500 0.000 0.500

=====

Arrangement three

LiPt2, optimized geometry, DFT PBE; crystal system = cubic; density of states at the Fermi level = 5.13 states/eV/f.u.
1.0
5.580 0.000 0.000
0.000 5.580 0.000
0.000 0.000 5.580
Li Pt
4 8
direct
0.000 0.000 0.000
0.000 0.500 0.500
0.500 0.000 0.500
0.500 0.500 0.000
0.142 0.642 0.858
0.142 0.858 0.358
0.358 0.142 0.858
0.358 0.358 0.358
0.642 0.642 0.642
0.642 0.858 0.142
0.858 0.142 0.642
0.858 0.358 0.142

=====

Arrangement four

LiPt2, optimized geometry, DFT PBE; crystal system = monoclinic; density of states at the Fermi level = 2.76 states/eV/f.u.
1.0
4.998 -1.378 0.000
4.998 1.378 0.000
-1.828 0.000 6.423
Li Pt
2 4
direct
0.000 0.000 0.000
0.676 0.676 0.353
0.061 0.061 0.628
0.335 0.335 0.671
0.395 0.395 0.286
0.730 0.730 0.965

=====

Stability check: which of them is least stable? arrangement three.

=====

Arrangement one

Li2Pt, optimized geometry, DFT PBE; crystal system = tetragonal; density of states at the Fermi level = 0.79 states/eV/f.u.
1.0
-1.550 1.550 4.224
1.550 -1.550 4.224
1.550 1.550 -4.224
Li Pt
2 1
direct
0.159 0.159 0.000
0.841 0.841 0.000
0.500 0.500 0.000

=====

Arrangement two

Li2Pt, optimized geometry, DFT PBE; crystal system = monoclinic; density of states at the Fermi level = 1.07 states/eV/f.u.
1.0
4.994 -1.362 0.000
4.994 1.362 0.000
-1.906 0.000 6.424
Li Pt
4 2
direct
0.028 0.028 0.329
0.350 0.350 0.971
0.650 0.650 0.029
0.972 0.972 0.671
0.299 0.299 0.349
0.701 0.701 0.651

=====

Arrangement three

Li2Pt, optimized geometry, DFT PBE; crystal system = trigonal; density of states at the Fermi level = 1.57 states/eV/f.u.
1.0
2.790 0.000 0.000
-1.395 2.416 0.000
0.000 0.000 6.780
Li Pt
2 1
direct
0.333 0.667 0.193
0.667 0.333 0.807
0.000 0.000 0.500

=====

Stability check: which of them is least stable? arrangement three.

=====

Arrangement one

Li4Pt, optimized geometry, DFT PBE; crystal system = tetragonal; density of states at the Fermi level = 1.39 states/eV/f.u.
1.0
-3.007 3.007 2.045
3.007 -3.007 2.045
3.007 3.007 -2.045
Li Pt
4 1
direct
0.110 0.715 0.825
0.285 0.110 0.394
0.715 0.890 0.606
0.890 0.285 0.175
0.500 0.500 0.000

=====

Arrangement two

Li4Pt, optimized geometry, DFT PBE; crystal system = cubic; density of states at the Fermi level = 0.86 states/eV/f.u.
1.0
-2.917 2.917 2.917
2.917 -2.917 2.917
2.917 2.917 -2.917
Li Pt
4 1
direct
0.000 0.000 0.500
0.000 0.500 0.000
0.500 0.000 0.000
0.500 0.500 0.500
0.000 0.000 0.000

=====

Stability check: which of them is least stable? arrangement two.

=====

Arrangement one

Li4Pt, optimized geometry, DFT PBE; crystal system = monoclinic; density of states at the Fermi level = 1.40 states/eV/f.u.
1.0
3.758 -2.208 0.000
3.758 2.208 0.000
-2.371 0.000 4.422
Li Pt
4 1
direct
0.110 0.110 0.328
0.301 0.301 0.898
0.699 0.699 0.102
0.890 0.890 0.672
0.500 0.500 0.500

=====

Arrangement two

Li4Pt, optimized geometry, DFT PBE; crystal system = tetragonal; density of states at the Fermi level = 1.99 states/eV/f.u.
1.0
-1.938 1.938 4.430
1.938 -1.938 4.430
1.938 1.938 -4.430
Li Pt
4 1
direct
0.109 0.109 0.000
0.250 0.750 0.500
0.750 0.250 0.500
0.891 0.891 0.000
0.500 0.500 0.000

=====

Stability check: which of them is least stable? arrangement two.

=====

Arrangement one

Li4Pt, optimized geometry, DFT PBE; crystal system = cubic; density of states at the Fermi level = 2.60 states/eV/f.u.
1.0
4.780 0.000 0.000
0.000 4.780 0.000
0.000 0.000 4.780
Li Pt
4 1
direct
0.000 0.000 0.000
0.000 0.500 0.500
0.500 0.000 0.500
0.500 0.500 0.000
0.500 0.500 0.500

=====

Arrangement two

Li4Pt, optimized geometry, DFT PBE; crystal system = monoclinic; density of states at the Fermi level = 1.46 states/eV/f.u.
1.0
4.586 0.000 0.000
0.000 4.701 0.000
-0.070 0.000 7.735
Li Pt
8 2
direct
0.000 0.207 0.110
0.000 0.293 0.610
0.000 0.707 0.390
0.000 0.793 0.890
0.499 0.536 0.167
0.499 0.964 0.667
0.501 0.036 0.333
0.501 0.464 0.833
0.500 0.000 0.000
0.500 0.500 0.500

=====

Arrangement three

Li4Pt, optimized geometry, DFT PBE; crystal system = cubic; density of states at the Fermi level = 1.99 states/eV/f.u.
1.0
0.000 4.769 4.769
4.769 0.000 4.769
4.769 4.769 0.000
Li Pt
8 2
direct
0.199 0.767 0.767
0.233 0.233 0.233
0.233 0.233 0.801
0.233 0.801 0.233
0.767 0.199 0.767
0.767 0.767 0.199
0.767 0.767 0.767
0.801 0.233 0.233
0.375 0.375 0.375
0.625 0.625 0.625

=====

Stability check: which of them is least stable? arrangement three.